# MnCuAg2O4

A geometry-optimized MnCuAg2O4 structure (PBE with a Hubbard U, the Alexandria database).

The mass density is 6.58 g/cm³. Its total DFT energy (no corrections) is -42.56 eV for the cell shown.

The space group is P2/m (No. 10) and the conventional cell measures 5.207, 3.095 and 6.515 Å, with angles of 90.00, 106.80 and 90.00 degrees. Symmetry generates all atoms from Mn at (0.000, 0.000, 0.000), Cu at (0.500, 0.500, 0.000), Ag at (0.000, 0.500, 0.500), Ag at (0.500, 0.000, 0.500), O at (0.102, 0.500, 0.837) and O at (0.379, 0.000, 0.162).